No. 1
Entry from the Alexandria database: a relaxed SiAg2Au crystal (PBE).

abc: 5.0609 5.0609 4.9201
angles: 104.46 104.46 34.55
Sites, in units of the cell vectors:
1 Si 0.0000 0.0000 0.0000
2 Ag 0.2634 0.2634 0.7613
3 Ag 0.7366 0.7366 0.2387
4 Au 0.5000 0.5000 0.5000

Calculated values
Total energy = -3.4497 eV per atom

No. 2
Entry from the Alexandria database: a relaxed Si2Ag2Au crystal (PBE).

abc: 6.3861 6.3861 6.3861
angles: 143.79 143.79 52.14
Sites, in units of the cell vectors:
1 Si 0.0971 0.0971 0.0000
2 Si 0.9029 0.9029 0.0000
3 Ag 0.2500 0.7500 0.5000
4 Ag 0.7500 0.2500 0.5000
5 Au 0.5000 0.5000 0.0000

Calculated values
Offset from the most stable computed form = 254 meV/atom

| no. | total magnetic moment (μB/cell) |
| --- | --- |
| 1 | 0.000 |
| 2 | 0.000 |